No. 1
VASP calculation (GGA-PBE) on TbBeAs2 after structural relaxation.

Crystal system   trigonal
ΔH_f (0 K)   -26 kJ/mol of atoms
Energy above the lowest structure with this stoichiometry   402 meV/atom
Magnetic moment   0.00 μB/cell

Cell and atoms, written as CIF:
```
data_TbBeAs2
_chemical_formula_sum 'Tb1 Be1 As2'
_cell_length_a 7.809
_cell_length_b 7.809
_cell_length_c 7.809
_cell_angle_alpha 31.02
_cell_angle_beta 31.02
_cell_angle_gamma 31.02
_space_group_name_H-M_alt 'P 1'
_space_group_IT_number 1
loop_
_space_group_symop_operation_xyz
'x,y,z'
loop_
_atom_site_label
_atom_site_fract_x
_atom_site_fract_y
_atom_site_fract_z
Tb1 0.000 0.000 0.000
Be1 0.500 0.500 0.500
As1 0.407 0.407 0.407
As2 0.593 0.593 0.593
```

=====

No. 2
VASP calculation (GGA-PBE) on LaSi2Pb2 after structural relaxation.

Crystal system   tetragonal
Energy above the lowest structure with this stoichiometry   5 meV/atom
Magnetic moment   0.00 μB/cell
Uncorrected formation energy   -0.084 eV/atom

Cell and atoms, written as CIF:
```
data_LaSi2Pb2
_chemical_formula_sum 'La2 Si4 Pb4'
_cell_length_a 7.709
_cell_length_b 7.709
_cell_length_c 4.357
_cell_angle_alpha 90.00
_cell_angle_beta 90.00
_cell_angle_gamma 90.00
_space_group_name_H-M_alt 'P 1'
_space_group_IT_number 1
loop_
_space_group_symop_operation_xyz
'x,y,z'
loop_
_atom_site_label
_atom_site_fract_x
_atom_site_fract_y
_atom_site_fract_z
La1 0.000 0.000 0.000
La2 0.500 0.500 0.000
Si1 0.109 0.391 0.000
Si2 0.391 0.891 0.000
Si3 0.609 0.109 0.000
Si4 0.891 0.609 0.000
Pb1 0.175 0.675 0.500
Pb2 0.325 0.175 0.500
Pb3 0.675 0.825 0.500
Pb4 0.825 0.325 0.500
```

=====

No. 3
VASP calculation (GGA-PBE) on TbEr3Sc8 after structural relaxation.

Crystal system   orthorhombic
ΔH_f (0 K)   29 kJ/mol of atoms
Magnetic moment   0.00 μB/cell

Cell and atoms, written as CIF:
```
data_TbEr3Sc8
_chemical_formula_sum 'Tb1 Er3 Sc8'
_cell_length_a 8.159
_cell_length_b 8.159
_cell_length_c 8.159
_cell_angle_alpha 137.50
_cell_angle_beta 99.19
_cell_angle_gamma 95.91
_space_group_name_H-M_alt 'P 1'
_space_group_IT_number 1
loop_
_space_group_symop_operation_xyz
'x,y,z'
loop_
_atom_site_label
_atom_site_fract_x
_atom_site_fract_y
_atom_site_fract_z
Tb1 0.000 0.000 0.000
Er1 0.252 0.500 0.752
Er2 0.500 0.000 0.500
Er3 0.748 0.500 0.248
Sc1 0.075 0.824 0.250
Sc2 0.251 0.002 0.751
Sc3 0.251 0.500 0.249
Sc4 0.426 0.176 0.250
Sc5 0.574 0.824 0.750
Sc6 0.749 0.500 0.751
Sc7 0.749 0.998 0.249
Sc8 0.925 0.176 0.750
```

=====

No. 4
VASP calculation (GGA-PBE) on K3RbAu after structural relaxation.

Crystal system   monoclinic
ΔH_f (0 K)   -12 kJ/mol of atoms
Energy above the lowest structure with this stoichiometry   9 meV/atom
Magnetic moment   0.00 μB/cell

Cell and atoms, written as CIF:
```
data_K3RbAu
_chemical_formula_sum 'K6 Rb2 Au2'
_cell_length_a 8.811
_cell_length_b 4.759
_cell_length_c 14.190
_cell_angle_alpha 90.00
_cell_angle_beta 105.54
_cell_angle_gamma 90.00
_space_group_name_H-M_alt 'P 1'
_space_group_IT_number 1
loop_
_space_group_symop_operation_xyz
'x,y,z'
loop_
_atom_site_label
_atom_site_fract_x
_atom_site_fract_y
_atom_site_fract_z
K1 0.038 0.250 0.362
K2 0.164 0.250 0.095
K3 0.324 0.750 0.886
K4 0.676 0.250 0.114
K5 0.836 0.750 0.905
K6 0.962 0.750 0.638
Rb1 0.478 0.250 0.650
Rb2 0.522 0.750 0.350
Au1 0.044 0.250 0.824
Au2 0.956 0.750 0.176
```

=====

No. 5
VASP calculation (GGA-PBE) on Y2NbBTe after structural relaxation.

Crystal system   tetragonal
Magnetic moment   1.33 μB/cell
Uncorrected formation energy   1.291 eV/atom

Cell and atoms, written as CIF:
```
data_Y2NbBTe
_chemical_formula_sum 'Y2 Nb1 B1 Te1'
_cell_length_a 5.603
_cell_length_b 5.603
_cell_length_c 5.041
_cell_angle_alpha 90.00
_cell_angle_beta 90.00
_cell_angle_gamma 90.00
_space_group_name_H-M_alt 'P 1'
_space_group_IT_number 1
loop_
_space_group_symop_operation_xyz
'x,y,z'
loop_
_atom_site_label
_atom_site_fract_x
_atom_site_fract_y
_atom_site_fract_z
Y1 0.000 0.500 0.000
Y2 0.500 0.000 0.000
Nb1 0.000 0.000 0.500
B1 0.500 0.500 0.500
Te1 0.000 0.000 0.000
```

=====

No. 6
VASP calculation (GGA-PBE) on ScPdWC2 after structural relaxation.

Crystal system   tetragonal
ΔH_f (0 K)   131 kJ/mol of atoms
Magnetic moment   0.00 μB/cell

Cell and atoms, written as CIF:
```
data_ScPdWC2
_chemical_formula_sum 'Sc1 Pd1 W1 C2'
_cell_length_a 4.052
_cell_length_b 4.052
_cell_length_c 5.367
_cell_angle_alpha 90.00
_cell_angle_beta 90.00
_cell_angle_gamma 90.00
_space_group_name_H-M_alt 'P 1'
_space_group_IT_number 1
loop_
_space_group_symop_operation_xyz
'x,y,z'
loop_
_atom_site_label
_atom_site_fract_x
_atom_site_fract_y
_atom_site_fract_z
Sc1 0.000 0.000 0.000
Pd1 0.500 0.500 0.000
W1 0.000 0.000 0.500
C1 0.000 0.500 0.500
C2 0.500 0.000 0.500
```

=====

Q: What is the magnetic moment in the fourth record?
A: 0.00 μB/cell